# 1
The following is a DFT calculation (PBE-GGA) of a relaxed structure of Ba3SrP.

Unit cell a=8.620 b=8.620 c=14.809 alpha=90.00 beta=90.00 gamma=90.00
Element x y z (fractional)
1 Ba 0.976 0.681 0.125
2 Ba 0.072 0.192 0.093
3 Ba 0.571 0.326 0.131
4 Ba 0.319 0.976 0.375
5 Ba 0.808 0.072 0.343
6 Ba 0.429 0.674 0.631
7 Ba 0.024 0.319 0.625
8 Ba 0.674 0.571 0.381
9 Ba 0.928 0.808 0.593
10 Ba 0.326 0.429 0.881
11 Ba 0.681 0.024 0.875
12 Ba 0.192 0.928 0.843
13 P 0.392 0.113 0.990
14 P 0.113 0.608 0.740
15 P 0.887 0.392 0.240
16 P 0.608 0.887 0.490
17 Sr 0.165 0.475 0.352
18 Sr 0.475 0.835 0.102
19 Sr 0.525 0.165 0.602
20 Sr 0.835 0.525 0.852

Output
final energy	-2.9989	eV/atom
DOS at the Fermi energy	5.86	states/eV/f.u.
space-group type	P4_1, No. 76
formation energy	-0.4269	eV per atom
ΔE to the lowest computed polymorph	0.09	kcal/mol of atoms

***

# 2
The following is a DFT calculation (PBE-GGA) of a relaxed structure of Ba2SrP.

Unit cell a=4.000 b=4.000 c=10.871 alpha=90.00 beta=90.00 gamma=90.00
Last column: magnetic moment on the atom in μB.
Element x y z (fractional)
1 P 0.000 0.000 0.512  0.02
2 Sr 0.500 0.500 0.651  0.02
3 Ba 0.000 0.000 0.986  0.09
4 Ba 0.500 0.500 0.350  0.03

Output
final energy	-3.2175	eV/atom
DOS at the Fermi energy	3.01	states/eV/f.u.
space-group type	P4mm, No. 99
formation energy	-0.4832	eV per atom

***

# 3
The following is a DFT calculation (PBE-GGA) of a relaxed structure of Ba2SrP.

Unit cell a=6.806 b=6.806 c=6.806 alpha=136.70 beta=136.70 gamma=62.90
Element x y z (fractional)
1 Ba 0.750 0.250 0.500
2 Ba 0.250 0.750 0.500
3 P 0.500 0.500 0.000
4 Sr 0.000 0.000 0.000

Output
final energy	-2.8947	eV/atom
DOS at the Fermi energy	2.81	states/eV/f.u.
space-group type	I4/mmm, No. 139
formation energy	-0.1604	eV per atom

***

# 4
The following is a DFT calculation (PBE-GGA) of a relaxed structure of BaSrP3.

Unit cell a=5.586 b=5.586 c=5.586 alpha=90.00 beta=90.00 gamma=90.00
Element x y z (fractional)
1 P 0.000 0.000 0.500
2 P 0.000 0.500 0.000
3 P 0.500 0.000 0.000
4 Ba 0.000 0.000 0.000
5 Sr 0.500 0.500 0.500

Output
final energy	-3.4509	eV/atom
DOS at the Fermi energy	6.50	states/eV/f.u.
space-group type	Pm-3m, No. 221
formation energy	0.5159	eV per atom
ΔE to the lowest computed polymorph	7.07	kcal/mol of atoms

***

# 5
The following is a DFT calculation (PBE-GGA) of a relaxed structure of Ba3SrP.

Unit cell a=6.440 b=6.440 c=6.440 alpha=90.00 beta=90.00 gamma=90.00
Element x y z (fractional)
1 P 0.500 0.500 0.500
2 Ba 0.000 0.000 0.500
3 Ba 0.000 0.500 0.000
4 Ba 0.500 0.000 0.000
5 Sr 0.000 0.000 0.000

Output
final energy	-1.6629	eV/atom
DOS at the Fermi energy	8.76	states/eV/f.u.
space-group type	Pm-3m, No. 221
formation energy	0.9091	eV per atom
ΔE to the lowest computed polymorph	30.90	kcal/mol of atoms

***

# 6
The following is a DFT calculation (PBE-GGA) of a relaxed structure of Ba2SrP.

Unit cell a=9.226 b=9.226 c=9.226 alpha=154.78 beta=148.52 gamma=40.75
Element x y z (fractional)
1 P 0.000 0.500 0.500
2 Sr 0.500 0.000 0.500
3 Ba 0.152 0.152 0.000
4 Ba 0.848 0.848 0.000

Output
final energy	-3.2295	eV/atom
DOS at the Fermi energy	3.35	states/eV/f.u.
space-group type	Immm, No. 71
formation energy	-0.4952	eV per atom

***

# 7
The following is a DFT calculation (PBE-GGA) of a relaxed structure of BaSrP2.

Unit cell a=8.582 b=8.582 c=8.582 alpha=151.32 beta=151.17 gamma=41.12
Element x y z (fractional)
1 P 0.846 0.346 0.500
2 P 0.910 0.910 0.000
3 Ba 0.261 0.761 0.500
4 Sr 0.483 0.483 0.000

Output
final energy	-4.2986	eV/atom
DOS at the Fermi energy	1.73	states/eV/f.u.
space-group type	Imm2, No. 44
formation energy	-0.6925	eV per atom
ΔE to the lowest computed polymorph	5.47	kcal/mol of atoms

***

# 8
The following is a DFT calculation (PBE-GGA) of a relaxed structure of BaSrP2.

Unit cell a=8.370 b=8.370 c=6.877 alpha=52.52 beta=52.52 gamma=90.00
Element x y z (fractional)
1 P 0.610 0.125 0.250
2 P 0.875 0.860 0.750
3 P 0.140 0.625 0.250
4 P 0.375 0.390 0.750
5 Ba 0.750 0.250 0.500
6 Ba 0.000 0.000 0.000
7 Sr 0.250 0.750 0.500
8 Sr 0.500 0.500 0.000

Output
final energy	-4.1083	eV/atom
DOS at the Fermi energy	1.06	states/eV/f.u.
space-group type	I-42d, No. 122
formation energy	-0.5022	eV per atom
ΔE to the lowest computed polymorph	9.86	kcal/mol of atoms

***

# 9
The following is a DFT calculation (PBE-GGA) of a relaxed structure of Ba2SrP.

Unit cell a=8.556 b=8.556 c=4.371 alpha=90.00 beta=90.00 gamma=145.43
Last column: magnetic moment on the atom in μB.
Element x y z (fractional)
1 Ba 0.955 0.045 0.000  0.06
2 Ba 0.612 0.388 0.500  0.03
3 Sr 0.283 0.717 0.500  0.05
4 P 0.149 0.851 0.000  0.02

Output
final energy	-3.2570	eV/atom
DOS at the Fermi energy	2.59	states/eV/f.u.
space-group type	Amm2, No. 38
formation energy	-0.5227	eV per atom

***

# 10
The following is a DFT calculation (PBE-GGA) of a relaxed structure of Ba2SrP.

Unit cell a=5.317 b=5.317 c=5.152 alpha=90.00 beta=90.00 gamma=90.00
Element x y z (fractional)
1 Ba 0.500 0.000 0.000
2 Ba 0.000 0.500 0.000
3 P 0.500 0.500 0.500
4 Sr 0.000 0.000 0.500

Output
final energy	-2.9474	eV/atom
DOS at the Fermi energy	3.36	states/eV/f.u.
space-group type	P4/mmm, No. 123
formation energy	-0.2131	eV per atom

***

# 11
The following is a DFT calculation (PBE-GGA) of a relaxed structure of BaSrP2.

Unit cell a=5.684 b=3.430 c=5.683 alpha=89.98 beta=90.00 gamma=90.00
Element x y z (fractional)
1 Sr 0.000 0.626 0.375
2 P 0.000 0.125 0.875
3 P 0.500 0.125 0.375
4 Ba 0.500 0.625 0.875

Output
final energy	-4.2635	eV/atom
DOS at the Fermi energy	3.92	states/eV/f.u.
space-group type	P4/mmm, No. 123
formation energy	-0.6574	eV per atom
ΔE to the lowest computed polymorph	6.28	kcal/mol of atoms

***

# 12
The following is a DFT calculation (PBE-GGA) of a relaxed structure of Ba2SrP.

Unit cell a=4.049 b=4.049 c=10.988 alpha=90.00 beta=90.00 gamma=90.00
Last column: magnetic moment on the atom in μB.
Element x y z (fractional)
1 P 0.500 0.500 0.000  0.02
2 Ba 0.000 0.000 0.154  0.04
3 Ba 0.000 0.000 0.846  0.04
4 Sr 0.500 0.500 0.500  0.08

Output
final energy	-3.2335	eV/atom
DOS at the Fermi energy	2.55	states/eV/f.u.
space-group type	P4/mmm, No. 123
formation energy	-0.4992	eV per atom